This record from Alexandria describes a relaxed Dy7Sb2Pd2 crystal. The functional is GGA-PBE.

Results
D(E_F)   0.905 states/eV/atom
Formation energy from raw total energies   -513.5 meV per atom
Volume   647.57 Å³/cell

Cell and atoms, written as CIF:
```
data_Dy7Sb2Pd2
_chemical_formula_sum 'Dy14 Sb4 Pd4'
_space_group_name_H-M_alt 'C m m m'
_space_group_IT_number 65
_space_group_name_Hall '-C 2 2'
_cell_length_a 8.6196
_cell_length_b 10.8822
_cell_length_c 6.9037
_cell_angle_alpha 90.00
_cell_angle_beta 90.00
_cell_angle_gamma 90.00
loop_
_atom_site_label
_atom_site_fract_x
_atom_site_fract_y
_atom_site_fract_z
Dy1 0.0000 0.0000 0.0000
Dy2 0.0000 0.5000 0.2413
Dy3 0.2500 0.2500 0.2548
Sb1 0.1957 0.0000 0.5000
Pd1 0.0000 0.2794 0.0000
```